This record from Alexandria via LeMat-Bulk describes a relaxed TaP2I crystal. The functional is PBE.

Values from the calculation:
Calculated density   8.61 Mg/m³
E_form (uncorrected)   3.122 eV/f.u.
Total magnetic moment   0.00 μB/cell

a = 4.6545 Å, b = 4.6545 Å, c = 4.6545 Å
α = 60.00°, β = 60.00°, γ = 60.00°
Closest atoms and distances in Å follow each position.
Sites, in units of the cell vectors:
1 I 0.0000 0.0000 0.0000  8 P 2.85
2 P 0.2500 0.2500 0.2500  4 Ta 2.85, 4 I 2.85
3 P 0.7500 0.7500 0.7500  4 Ta 2.85, 4 I 2.85
4 Ta 0.5000 0.5000 0.5000  8 P 2.85